Computed, not measured: a relaxed structure of CsTbCo2Br8 at the PBE-GGA level of DFT.

- Formation energy (no corrections): -1046 meV/atom
- Calculated volume: 38.39 Å³/atom
- Space group: C2/m (12)
- E_tot: -45.6 eV per formula unit

Unit cell a=6.865 b=6.865 c=10.614 alpha=83.34 beta=83.34 gamma=68.45
Last column: magnetic moment on the atom in μB.
Positions (direct):
Br 0.249 0.249 0.992  0.07
Br 0.751 0.751 0.008  0.07
Cs 0.000 0.000 0.500  0.00
Co 0.613 0.613 0.202  2.38
Br 0.231 0.727 0.197  0.07
Br 0.769 0.273 0.803  0.07
Br 0.273 0.769 0.803  0.07
Br 0.684 0.684 0.398  0.13
Br 0.727 0.231 0.197  0.07
Br 0.316 0.316 0.602  0.13
Tb 0.000 0.000 0.000  0.05
Co 0.387 0.387 0.798  2.38